Record 1
## CdBr (PBE)

Data for a relaxed structure of CdBr.

The space group is R-3m (No. 166, hexagonal axes) and the conventional cell measures 4.3867, 4.3867 and 10.7766 Å, with angles of 90.00, 90.00 and 120.00 degrees. The inequivalent atoms are Cd at (0.0000, 0.0000, 0.0000) and Br at (0.0000, 0.0000, 0.5000).

As for the magnetization: 0.00 μB/cell. As for the total DFT energy (no corrections): -9.6 eV per cell. For the raw formation energy, the calculation gives -60 kJ/mol of formula units. Its density of states at the Fermi level is 3.0 states/eV/cell.

Record 2
## La2TlBi2 (PBE)

Data for a relaxed structure of La2TlBi2.

The space group is I4/mmm (No. 139) and the conventional cell measures 5.531, 5.531 and 13.356 Å, with angles of 90.00, 90.00 and 90.00 degrees. The inequivalent atoms are La at (0.000, 0.500, 0.250), Tl at (0.000, 0.000, 0.000) and Bi at (0.000, 0.000, 0.380).

As for the magnetization: 0.00 μB/cell. As for the total DFT energy (no corrections): -43.3 eV per cell. The value obtained for the energy above the most stable polymorph in this dataset is 385.3 meV per atom. The value obtained for the calculated formation energy is -329 meV per atom. Its density of states at the Fermi level is 11.4 states/eV/cell.

Record 3
## BaTl2Zn (PBE)

Data for a relaxed structure of BaTl2Zn.

The space group is I-42d (No. 122) and the conventional cell measures 5.376, 5.376 and 20.040 Å, with angles of 90.00, 90.00 and 90.00 degrees. The inequivalent atoms are Ba at (0.000, 0.000, 0.000), Tl at (0.126, 0.250, 0.625) and Zn at (0.000, 0.000, 0.500).

As for the magnetization: 0.00 μB/cell. As for the total DFT energy (no corrections): -32.7 eV per cell. The value obtained for the calculated formation energy is -63 meV per atom. Its density of states at the Fermi level is 9.6 states/eV/cell.

Record 4
## Rb2SbAs2 (PBE)

Data for a relaxed structure of Rb2SbAs2.

The space group is P4/mbm (No. 127) and the conventional cell measures 10.373, 10.373 and 3.043 Å, with angles of 90.00, 90.00 and 90.00 degrees. The inequivalent atoms are Rb at (0.122, 0.378, 0.000), Sb at (0.000, 0.000, 0.000) and As at (0.178, 0.678, 0.500).

As for the magnetization: 0.00 μB/cell. As for the total DFT energy (no corrections): -27.3 eV per cell. The value obtained for the energy above the most stable polymorph in this dataset is 655.6 meV per atom. For the raw formation energy, the calculation gives 163 kJ/mol of formula units. Its density of states at the Fermi level is 9.2 states/eV/cell.

Record 5
## Tm2CoAg (PBE)

Data for a relaxed structure of Tm2CoAg.

The space group is P4/mmm (No. 123) and the conventional cell measures 3.323, 3.323 and 7.431 Å, with angles of 90.00, 90.00 and 90.00 degrees. The inequivalent atoms are Tm at (0.000, 0.000, 0.219), Co at (0.500, 0.500, 0.000) and Ag at (0.500, 0.500, 0.500).

As for the magnetization: 0.63 μB/cell. As for the total DFT energy (no corrections): -20.1 eV per cell. The value obtained for the energy above the most stable polymorph in this dataset is 0.0 meV per atom. The value obtained for the calculated formation energy is -291 meV per atom. Its density of states at the Fermi level is 2.5 states/eV/cell.

Record 6
## Sm2ScCd (PBE)

Data for a relaxed structure of Sm2ScCd.

The space group is R3m (No. 160, hexagonal axes) and the conventional cell measures 3.5399, 3.5399 and 32.1960 Å, with angles of 90.00, 90.00 and 120.00 degrees. The inequivalent atoms are Sm at (0.0000, 0.0000, 0.0000), Sm at (0.0000, 0.0000, 0.1683), Sc at (0.0000, 0.0000, 0.4174) and Cd at (0.0000, 0.0000, 0.5842).

As for the magnetization: 0.00 μB/cell. As for the total DFT energy (no corrections): -50.4 eV per cell. The value obtained for the energy above the most stable polymorph in this dataset is 87.4 meV per atom. The value obtained for the calculated formation energy is -26 meV per atom. Its density of states at the Fermi level is 17.2 states/eV/cell.